Material: Y2ScBr
Method: DFT, PBE-GGA
State: optimized geometry

Cell lengths 6.512, 6.512, 6.512 Å; angles 149.53, 127.47, 61.95 degrees
Fractional positions:
Br: 0.489 0.489 0.000
Sc: 0.278 0.778 0.500
Y: 0.009 0.009 0.000
Y: 0.724 0.224 0.500

Values from the calculation:
- density of states at the Fermi level (states/eV/atom) = 1.0809
- calculated total energy (eV/atom) = -5.533
- SG = Imm2 (44)
- formation energy from raw total energies (eV per formula unit) = -1.20
- spin magnetization (μB/f.u.) = 0.0
- ρ (g cm⁻³) = 4.6

=====

Material: Y2ScBr
Method: DFT, PBE-GGA
State: optimized geometry

Cell lengths 3.507, 3.507, 10.043 Å; angles 90.00, 90.00, 114.47 degrees
Fractional positions:
Br: 0.000 0.000 0.511
Sc: 0.500 0.500 0.729
Y: 0.000 0.000 0.989
Y: 0.500 0.500 0.270

Values from the calculation:
- density of states at the Fermi level (states/eV/atom) = 1.5841
- calculated total energy (eV/atom) = -5.589
- SG = Cmm2 (35)
- formation energy from raw total energies (eV per formula unit) = -1.43
- spin magnetization (μB/f.u.) = 0.7
- ρ (g cm⁻³) = 4.5

=====

Material: YSc2Br
Method: DFT, PBE-GGA
State: optimized geometry

Cell lengths 5.297, 5.297, 5.297 Å; angles 60.00, 60.00, 60.00 degrees
Fractional positions:
Br: 0.500 0.500 0.500
Sc: 0.000 0.000 0.000
Sc: 0.250 0.250 0.250
Y: 0.750 0.750 0.750

Values from the calculation:
- density of states at the Fermi level (states/eV/atom) = 1.8475
- calculated total energy (eV/atom) = -5.019
- SG = F-43m (216)
- formation energy from raw total energies (eV per formula unit) = 0.72
- spin magnetization (μB/f.u.) = 0.6
- ρ (g cm⁻³) = 4.1

=====

Material: Y2ScBr
Method: DFT, PBE-GGA
State: optimized geometry

Cell lengths 5.140, 3.638, 6.035 Å; angles 72.47, 90.00, 90.00 degrees
Fractional positions:
Br: 0.000 0.702 0.470
Sc: 0.500 0.544 0.788
Y: 0.000 0.974 0.926
Y: 0.500 0.280 0.315

Values from the calculation:
- density of states at the Fermi level (states/eV/atom) = 1.1412
- calculated total energy (eV/atom) = -5.538
- SG = Amm2 (38)
- formation energy from raw total energies (eV per formula unit) = -1.22
- spin magnetization (μB/f.u.) = 0.4
- ρ (g cm⁻³) = 4.7

=====

Material: Y2ScBr
Method: DFT, PBE-GGA
State: optimized geometry

Cell lengths 5.442, 5.442, 5.442 Å; angles 60.00, 60.00, 60.00 degrees
Fractional positions:
Y: 0.250 0.250 0.250
Y: 0.750 0.750 0.750
Sc: 0.000 0.000 0.000
Br: 0.500 0.500 0.500

Values from the calculation:
- density of states at the Fermi level (states/eV/atom) = 1.6402
- calculated total energy (eV/atom) = -5.123
- SG = Fm-3m (225)
- formation energy from raw total energies (eV per formula unit) = 0.44
- spin magnetization (μB/f.u.) = 0.0
- ρ (g cm⁻³) = 4.4

=====

Material: YScBr2
Method: DFT, PBE-GGA
State: optimized geometry

Cell lengths 9.894, 9.894, 9.894 Å; angles 20.99, 20.99, 20.99 degrees
Fractional positions:
Y: 0.500 0.500 0.500
Sc: 0.000 0.000 0.000
Br: 0.906 0.906 0.906
Br: 0.094 0.094 0.094

Values from the calculation:
- density of states at the Fermi level (states/eV/atom) = 0.0895
- calculated total energy (eV/atom) = -4.936
- SG = R-3m (166)
- formation energy from raw total energies (eV per formula unit) = -3.60
- spin magnetization (μB/f.u.) = 0.0
- ρ (g cm⁻³) = 4.5

=====

Material: YSc2Br
Method: DFT, PBE-GGA
State: optimized geometry

Cell lengths 6.274, 6.274, 6.274 Å; angles 139.24, 139.24, 59.02 degrees
Fractional positions:
Br: 0.750 0.250 0.500
Sc: 0.000 0.000 0.000
Sc: 0.500 0.500 0.000
Y: 0.250 0.750 0.500

Values from the calculation:
- density of states at the Fermi level (states/eV/atom) = 1.4487
- calculated total energy (eV/atom) = -5.222
- SG = I4/mmm (139)
- formation energy from raw total energies (eV per formula unit) = -0.09
- spin magnetization (μB/f.u.) = 2.0
- ρ (g cm⁻³) = 4.1

=====

Material: YScBr2
Method: DFT, PBE-GGA
State: optimized geometry

Cell lengths 3.624, 3.624, 8.866 Å; angles 90.00, 90.00, 90.04 degrees
Fractional positions:
Br: 0.000 0.000 0.932
Br: 0.500 0.500 0.339
Sc: 0.000 0.000 0.488
Y: 0.500 0.500 0.742

Values from the calculation:
- density of states at the Fermi level (states/eV/atom) = 0.1784
- calculated total energy (eV/atom) = -5.152
- SG = P4mm (99)
- formation energy from raw total energies (eV per formula unit) = -4.47
- spin magnetization (μB/f.u.) = 0.0
- ρ (g cm⁻³) = 4.2